# 1
DFT (PBEsol) results for an optimized crystal structure of ZnCuSb2.

Computed properties:
As for the volume: 21.23 A^3/atom. The total energy comes out at -3.700 eV per atom. The calculation puts the formation energy from raw total energies at 57 meV/atom.

a = 4.3802 Å, b = 5.1472 Å, c = 7.5327 Å
α = 90.00°, β = 90.00°, γ = 90.00°
With the nearest neighbours (Å) after each atom.
Space group Amm2 (No. 38)
Inequivalent atoms, fractional coordinates:
Zn 0.0000 0.0000 0.0000  2 Cu 2.49, 5 Sb 2.69-2.79
Cu 0.5000 0.0000 0.8413  2 Zn 2.49, 4 Sb 2.65-2.75
Sb 0.0000 0.0000 0.6423  2 Cu 2.65, 3 Zn 2.69-2.79
Sb 0.5000 0.0000 0.2123  2 Zn 2.71, 3 Cu 2.75-2.79

=====

# 2
DFT (PBEsol) results for an optimized crystal structure of ZnCuSb2.

Computed properties:
As for the volume: 20.97 A^3/atom. The total energy comes out at -3.557 eV per atom. The calculation puts the formation energy from raw total energies at 201 meV/atom.

a = 3.0532 Å, b = 3.4863 Å, c = 7.8872 Å
α = 90.00°, β = 92.20°, γ = 90.00°
With the nearest neighbours (Å) after each atom.
Space group P2/m (No. 10)
Inequivalent atoms, fractional coordinates:
Zn 0.0000 0.0000 0.0000  4 Sb 2.82, 2 Zn 3.05
Cu 0.0000 0.0000 0.5000  4 Sb 2.62
Sb 0.2226 0.5000 0.7360  2 Cu 2.62, 2 Zn 2.82

=====

# 3
DFT (PBEsol) results for an optimized crystal structure of ZrCuSb2.

Computed properties:
As for the volume: 20.79 A^3/atom. The total energy comes out at -5.700 eV per atom. The calculation puts the formation energy from raw total energies at -66 meV/atom.

a = 4.0043 Å, b = 5.1645 Å, c = 8.0438 Å
α = 90.00°, β = 90.00°, γ = 90.00°
With the nearest neighbours (Å) after each atom.
Space group Cmmm (No. 65)
Inequivalent atoms, fractional coordinates:
Zr 0.0000 0.0000 0.0000  4 Sb 2.93, 4 Zr 3.27
Cu 0.0000 0.0000 0.5000  4 Sb 2.75
Sb 0.0000 0.5000 0.2661  2 Cu 2.75, 2 Zr 2.93

=====

Question: Which value of formation energy from raw total energies does entry 2 give?
Answer: 201 meV/atom